The following is a DFT calculation (GGA-PBE) of ZrFe4N4 after structural relaxation.

Values from the calculation:
E_form (uncorrected) in eV/atom: -0.184
Mass density in Mg/m³: 6.6
Total moment in μB/cell: 8.72

Lattice parameters (Å, degrees): 5.443 5.449 7.801 66.48 77.52 60.97
Fractional coordinates of all 18 atoms:
Fe 0.686 0.575 0.236
Fe 0.314 0.425 0.764
Fe 0.772 0.224 0.999
Fe 0.228 0.776 0.001
Fe 0.765 0.496 0.590
Fe 0.235 0.504 0.410
Fe 0.283 0.962 0.598
Fe 0.717 0.038 0.402
Zr 0.751 0.824 0.813
Zr 0.249 0.176 0.187
N 0.997 0.692 0.582
N 0.003 0.308 0.418
N 0.857 0.809 0.067
N 0.143 0.191 0.933
N 0.510 0.598 0.807
N 0.490 0.402 0.193
N 0.531 0.809 0.395
N 0.469 0.191 0.605